Entry 1:
# KSrAg2 PBE relaxed
# Energy of formation: 0.12 eV/atom
# Final energy: -0.0734 Ha/atom
# Total moment: 0.00 Bohr magnetons per cell
# Polymorph energy (0 for the lowest one): 0.97 eV per formula unit
data_KSrAg2
_chemical_formula_sum 'K4 Sr4 Ag8'
_cell_length_a 8.7540
_cell_length_b 8.7540
_cell_length_c 7.4650
_cell_angle_alpha 90.00
_cell_angle_beta 90.00
_cell_angle_gamma 90.00
_space_group_name_H-M_alt 'I -4 2 d'
_space_group_IT_number 122
_space_group_name_Hall 'I -4 2bw'
loop_
_atom_site_label
_atom_site_fract_x
_atom_site_fract_y
_atom_site_fract_z
K1 0.0000 0.0000 0.0000
Sr1 0.0000 0.0000 0.5000
Ag1 0.2420 0.2500 0.6250



Entry 2:
# K2SrAg PBE relaxed
# Energy of formation: 0.13 eV/atom
# Final energy: -0.0570 Ha/atom
# Total moment: 0.00 Bohr magnetons per cell
# Polymorph energy (0 for the lowest one): 0.65 eV per formula unit
data_K2SrAg
_chemical_formula_sum 'K8 Sr4 Ag4'
_cell_length_a 11.0314
_cell_length_b 11.0314
_cell_length_c 6.7497
_cell_angle_alpha 90.00
_cell_angle_beta 90.00
_cell_angle_gamma 90.00
_space_group_name_H-M_alt 'I -4 2 d'
_space_group_IT_number 122
_space_group_name_Hall 'I -4 2bw'
loop_
_atom_site_label
_atom_site_fract_x
_atom_site_fract_y
_atom_site_fract_z
K1 0.1596 0.2500 0.1250
Sr1 0.0000 0.0000 0.5000
Ag1 0.0000 0.0000 0.0000